1.
# La2TcGe6Ru (PBE, relaxed)
data_La2TcGe6Ru
_cell_length_a 6.421
_cell_length_b 8.968
_cell_length_c 7.434
_cell_angle_alpha 90.00
_cell_angle_beta 90.00
_cell_angle_gamma 90.00
_space_group_name_H-M_alt 'P 1'
_space_group_IT_number 1
_space_group_name_Hall 'P 1'
loop_
_atom_site_label
_atom_site_fract_x
_atom_site_fract_y
_atom_site_fract_z
La1 0.250 0.004 0.247
La2 0.250 0.496 0.247
La3 0.750 0.504 0.753
La4 0.750 0.996 0.753
Tc1 0.250 0.750 0.619
Tc2 0.750 0.250 0.381
Ge1 0.053 0.750 0.950
Ge2 0.056 0.250 0.556
Ge3 0.250 0.520 0.803
Ge4 0.250 0.980 0.803
Ge5 0.444 0.250 0.556
Ge6 0.447 0.750 0.950
Ge7 0.553 0.250 0.050
Ge8 0.556 0.750 0.444
Ge9 0.750 0.020 0.197
Ge10 0.750 0.480 0.197
Ge11 0.944 0.750 0.444
Ge12 0.947 0.250 0.050
Ru1 0.250 0.250 0.850
Ru2 0.750 0.750 0.150
# Energy in Ry per atom: -0.453
# Space group: Pmmn
# ΔE_f in eV per atom: -0.4408
# Density of states at the Fermi level in states/eV/f.u.: 4.9



2.
# BeRuBr2 (PBE, relaxed)
data_BeRuBr2
_cell_length_a 4.847
_cell_length_b 4.847
_cell_length_c 4.812
_cell_angle_alpha 117.48
_cell_angle_beta 117.48
_cell_angle_gamma 94.49
_space_group_name_H-M_alt 'P 1'
_space_group_IT_number 1
_space_group_name_Hall 'P 1'
loop_
_atom_site_label
_atom_site_fract_x
_atom_site_fract_y
_atom_site_fract_z
Be1 0.000 0.000 0.000
Ru1 0.500 0.500 0.000
Br1 0.000 0.500 0.500
Br2 0.500 0.000 0.500
# Energy in Ry per atom: -0.243
# Space group: C2/m
# Density of states at the Fermi level in states/eV/f.u.: 3.0



3.
# Ca2YMg9 (PBE, relaxed)
data_Ca2YMg9
_cell_length_a 10.478
_cell_length_b 10.478
_cell_length_c 10.478
_cell_angle_alpha 33.93
_cell_angle_beta 33.93
_cell_angle_gamma 33.93
_space_group_name_H-M_alt 'P 1'
_space_group_IT_number 1
_space_group_name_Hall 'P 1'
loop_
_atom_site_label
_atom_site_fract_x
_atom_site_fract_y
_atom_site_fract_z
Ca1 0.142 0.142 0.142
Ca2 0.858 0.858 0.858
Y1 0.000 0.000 0.000
Mg1 0.080 0.583 0.583
Mg2 0.334 0.334 0.334
Mg3 0.417 0.417 0.920
Mg4 0.417 0.920 0.417
Mg5 0.500 0.500 0.500
Mg6 0.583 0.080 0.583
Mg7 0.583 0.583 0.080
Mg8 0.666 0.666 0.666
Mg9 0.920 0.417 0.417
# Energy in Ry per atom: -0.156
# Space group: R-3m
# ΔE_f in eV per atom: -0.0519
# Density of states at the Fermi level in states/eV/f.u.: 9.8



Question: Among the records above, which one has the highest density of states at the Fermi level?
Answer: Ca2YMg9